Record 1
DFT (GGA-PBE) results for an optimized crystal structure of SrGa2Cl.

The calculation puts the total energy at -0.18751 Ry per atom. As for the space group: Fm-3m, No. 225. The value obtained for the density is 3.95 g/cm3. The spin magnetization is 0.0 μB/f.u. The uncorrected formation energy is -0.156 eV/atom.

Unit cell a=7.6110 b=7.6110 c=7.6110 alpha=90.00 beta=90.00 gamma=90.00
Element x y z (fractional)
Sr 0.0000 0.0000 0.0000
Sr 0.0000 0.5000 0.5000
Sr 0.5000 0.0000 0.5000
Sr 0.5000 0.5000 0.0000
Ga 0.2500 0.2500 0.2500
Ga 0.2500 0.2500 0.7500
Ga 0.2500 0.7500 0.2500
Ga 0.2500 0.7500 0.7500
Ga 0.7500 0.2500 0.2500
Ga 0.7500 0.2500 0.7500
Ga 0.7500 0.7500 0.2500
Ga 0.7500 0.7500 0.7500
Cl 0.0000 0.0000 0.5000
Cl 0.0000 0.5000 0.0000
Cl 0.5000 0.0000 0.0000
Cl 0.5000 0.5000 0.5000

---

Record 2
DFT (GGA-PBE) results for an optimized crystal structure of SrGaCl3.

The calculation puts the total energy at -0.26709 Ry per atom. As for the space group: Pm-3m, No. 221. The value obtained for the density is 2.43 g/cm3. The spin magnetization is 0.0 μB/f.u. The uncorrected formation energy is -1.584 eV/atom.

Unit cell a=5.6507 b=5.6507 c=5.6507 alpha=90.00 beta=90.00 gamma=90.00
Element x y z (fractional)
Sr 0.0000 0.0000 0.0000
Ga 0.5000 0.5000 0.5000
Cl 0.0000 0.0000 0.5000
Cl 0.0000 0.5000 0.0000
Cl 0.5000 0.0000 0.0000

---

Record 3
DFT (GGA-PBE) results for an optimized crystal structure of Sr2Ga2Cl.

The calculation puts the total energy at -0.24371 Ry per atom. As for the space group: R-3m, No. 166. The value obtained for the density is 4.16 g/cm3. The spin magnetization is 0.0 μB/f.u. The uncorrected formation energy is -1.063 eV/atom.

Unit cell a=4.3878 b=4.3878 c=25.1217 alpha=90.00 beta=90.00 gamma=120.00
Element x y z (fractional)
Sr 0.0000 0.0000 0.0862
Sr 0.0000 0.0000 0.9138
Sr 0.3333 0.6667 0.5805
Sr 0.3333 0.6667 0.7528
Sr 0.6667 0.3333 0.2472
Sr 0.6667 0.3333 0.4195
Ga 0.0000 0.0000 0.3259
Ga 0.0000 0.0000 0.6741
Ga 0.3333 0.6667 0.3408
Ga 0.3333 0.6667 0.9926
Ga 0.6667 0.3333 0.0074
Ga 0.6667 0.3333 0.6592
Cl 0.0000 0.0000 0.5000
Cl 0.3333 0.6667 0.1667
Cl 0.6667 0.3333 0.8333